Compound: HfSn2Pt
Source: Alexandria
Functional: PBE-GGA
Structure: optimized geometry

```
data_HfSn2Pt
_symmetry_space_group_name_H-M 'F m -3 m'
_symmetry_Int_Tables_number 225
_symmetry_space_group_name_Hall '-F 4 2 3'
_cell_length_a 6.9139
_cell_length_b 6.9139
_cell_length_c 6.9139
_cell_angle_alpha 90.00
_cell_angle_beta 90.00
_cell_angle_gamma 90.00
loop_
_atom_site_label
_atom_site_type_symbol
_atom_site_fract_x
_atom_site_fract_y
_atom_site_fract_z
Hf1 Hf 0.0000 0.0000 0.0000
Sn1 Sn 0.2500 0.2500 0.2500
Pt1 Pt 0.0000 0.0000 0.5000
```

Energy of formation: -0.0842 eV/atom
Energy above the lowest structure with this stoichiometry: 76 meV per atom
Calculated volume: 330 Å³/cell
DFT total energy: -24.34 eV per formula unit
Mass density: 12.3 Mg/m³